Entry 1:
Compound: Li2PtSe
Source: Alexandria via LeMat-Bulk
Functional: PBE
Structure: relaxed

Computed properties:
DOS at the Fermi energy	1.35	states/eV/f.u.
space group	Cmmm (65)
energy relative to the elements, uncorrected	-0.585	eV/atom
E_tot	-15.69	eV per cell

Cell: 2.844 2.844 7.667 Å, 90.00 90.00 90.59°
Fractional positions:
Se1 0.500 0.500 0.750
Li1 0.000 0.000 0.018
Li2 0.000 0.000 0.482
Pt1 0.500 0.500 0.250

Entry 2:
Compound: LaTbTm2Sc
Source: Alexandria via LeMat-Bulk
Functional: PBE
Structure: relaxed

Computed properties:
DOS at the Fermi energy	7.04	states/eV/f.u.
space group	Pmmm (47)
E_tot	-47.63	eV per cell

Cell: 5.443 8.351 7.089 Å, 90.02 90.00 90.00°
Fractional positions:
Tm1 0.500 0.687 0.000
Tm2 0.500 0.313 0.000
La1 0.000 0.000 0.000
Tb1 0.000 0.500 0.250
Tm3 0.500 0.313 0.500
Tm4 0.500 0.687 0.500
Sc1 0.500 0.000 0.750
Sc2 0.500 0.000 0.250
Tb2 0.000 0.500 0.750
La2 0.000 0.000 0.500

Entry 3:
Compound: Tb2BeAlIr2
Source: Alexandria via LeMat-Bulk
Functional: PBE
Structure: relaxed

Computed properties:
DOS at the Fermi energy	3.50	states/eV/f.u.
space group	Ibam (72)
E_tot	-77.91	eV per cell

Cell: 5.633 5.724 8.033 Å, 110.87 110.52 90.00°
Fractional positions:
Tb1 0.411 0.170 0.340
Ir1 0.166 0.894 0.788
Ir2 0.377 0.606 0.212
Tb2 0.589 0.830 0.660
Tb3 0.071 0.330 0.660
Be1 0.500 0.750 0.000
Al1 0.000 0.250 0.000
Tb4 0.929 0.670 0.340
Ir3 0.834 0.106 0.212
Be2 0.500 0.250 0.000
Al2 0.000 0.750 0.000
Ir4 0.623 0.394 0.788

Entry 4:
Compound: AcAlSe3
Source: Alexandria via LeMat-Bulk
Functional: PBE
Structure: relaxed

Computed properties:
DOS at the Fermi energy	0.00	states/eV/f.u.
space group	C2/m (12)
energy relative to the elements, uncorrected	-1.433	eV/atom
E_tot	-50.93	eV per cell
energy above the lowest structure with this stoichiometry	0.0000	eV/atom

Cell: 4.717 7.967 7.969 Å, 72.16 88.80 88.80°
Fractional positions:
Al1 0.742 0.630 0.713
Se1 0.987 0.617 0.453
Se2 0.498 0.287 0.329
Se3 0.987 0.015 0.056
Ac1 0.493 0.724 0.163
Ac2 0.991 0.180 0.619
Se4 0.493 0.351 0.790
Se5 0.498 0.890 0.726
Se6 0.992 0.553 0.992
Al2 0.742 0.274 0.069

Entry 5:
Compound: CsInSi2
Source: Alexandria via LeMat-Bulk
Functional: PBE
Structure: relaxed

Computed properties:
DOS at the Fermi energy	1.85	states/eV/f.u.
space group	I4_1/amd (141)
energy relative to the elements, uncorrected	0.374	eV/atom
E_tot	-25.88	eV per cell

Cell: 5.303 5.303 10.202 Å, 74.93 74.93 90.00°
Fractional positions:
In1 0.500 0.500 0.000
Si1 0.375 0.125 0.250
Cs1 0.750 0.250 0.500
In2 0.250 0.750 0.500
Cs2 0.000 0.000 0.000
Si2 0.375 0.625 0.250
Si3 0.875 0.625 0.750
Si4 0.375 0.625 0.750

Entry 6:
Compound: La6Tb5
Source: Alexandria via LeMat-Bulk
Functional: PBE
Structure: relaxed

Computed properties:
DOS at the Fermi energy	17.94	states/eV/f.u.
space group	C2/m (12)
E_tot	-51.52	eV per cell
energy above the lowest structure with this stoichiometry	0.0000	eV/atom

Cell: 10.112 9.555 5.727 Å, 72.62 55.64 58.05°
Fractional positions:
Tb1 0.662 0.677 0.000
Tb2 0.338 0.323 0.000
La1 0.346 0.723 0.792
La2 0.654 0.277 0.208
La3 0.931 0.723 0.208
Tb3 0.201 0.597 0.500
Tb4 0.799 0.403 0.500
Tb5 0.500 0.000 0.500
La4 0.793 0.000 0.709
La5 0.207 0.000 0.291
La6 0.069 0.277 0.792

Entry 7:
Compound: Ba2NaCoC
Source: Alexandria via LeMat-Bulk
Functional: PBE
Structure: relaxed

Computed properties:
DOS at the Fermi energy	3.47	states/eV/f.u.
space group	P4/mmm (123)
E_tot	-19.19	eV per cell

Cell: 6.128 3.754 6.128 Å, 90.00 90.00 90.00°
Fractional positions:
Ba1 0.500 0.000 0.000
Ba2 0.000 0.000 0.500
C1 0.000 0.500 0.000
Co1 0.000 0.000 0.000
Na1 0.500 0.500 0.500

Entry 8:
Compound: Nd5Sm4Dy
Source: Alexandria via LeMat-Bulk
Functional: PBE
Structure: relaxed

Computed properties:
DOS at the Fermi energy	13.95	states/eV/f.u.
space group	P-1 (2)
E_tot	-47.18	eV per cell
energy above the lowest structure with this stoichiometry	0.0000	eV/atom

Cell: 3.646 10.336 9.631 Å, 105.53 100.86 90.11°
Fractional positions:
Nd1 0.300 0.400 0.600
Sm1 0.099 0.297 0.199
Nd2 0.100 0.803 0.199
Nd3 0.500 0.500 0.000
Nd4 0.700 0.600 0.400
Dy1 0.500 0.000 0.000
Sm2 0.300 0.900 0.601
Sm3 0.901 0.703 0.801
Sm4 0.700 0.100 0.399
Nd5 0.900 0.197 0.801

Entry 9:
Compound: ErTaAl2O8
Source: Alexandria via LeMat-Bulk
Functional: PBE
Structure: relaxed

Computed properties:
DOS at the Fermi energy	9.92	states/eV/f.u.
space group	I-4m2 (119)
energy relative to the elements, uncorrected	-2.582	eV/atom
E_tot	-94.55	eV per cell

Cell: 5.723 5.723 5.723 Å, 107.77 107.77 112.94°
Fractional positions:
Al1 0.500 0.500 0.000
O1 0.879 0.674 0.206
Ta1 0.250 0.750 0.500
O2 0.726 0.048 0.678
Al2 0.750 0.250 0.500
O3 0.468 0.674 0.794
O4 0.326 0.121 0.794
Er1 0.000 0.000 0.000
O5 0.952 0.630 0.678
O6 0.326 0.532 0.206
O7 0.370 0.048 0.322
O8 0.952 0.274 0.322

Entry 10:
Compound: KDy2Sn3Te6
Source: Alexandria via LeMat-Bulk
Functional: PBE
Structure: relaxed

Computed properties:
DOS at the Fermi energy	4.57	states/eV/f.u.
space group	C2/m (12)
energy relative to the elements, uncorrected	-0.735	eV/atom
E_tot	-49.98	eV per cell

Cell: 4.432 9.416 10.130 Å, 102.80 102.64 90.00°
Fractional positions:
Te1 0.012 0.273 0.023
Sn1 0.158 0.845 0.316
Te2 0.332 0.416 0.664
Te3 0.988 0.727 0.977
Sn2 0.500 0.500 0.000
Te4 0.681 0.115 0.362
Te5 0.668 0.584 0.336
Dy1 0.830 0.653 0.661
Dy2 0.170 0.347 0.339
K1 0.500 0.000 0.000
Sn3 0.842 0.155 0.684
Te6 0.319 0.885 0.638

Entry 11:
Compound: RePOs2
Source: Alexandria via LeMat-Bulk
Functional: PBE
Structure: relaxed

Computed properties:
DOS at the Fermi energy	3.72	states/eV/f.u.
space group	C2/m (12)
E_tot	-37.78	eV per cell

Cell: 5.122 5.122 2.810 Å, 76.69 76.69 118.49°
Fractional positions:
Os1 0.500 0.000 0.000
Os2 0.000 0.500 0.000
Re1 0.500 0.500 0.500
P1 0.000 0.000 0.500

Entry 12:
Compound: TaSi2C
Source: Alexandria via LeMat-Bulk
Functional: PBE
Structure: relaxed

Computed properties:
DOS at the Fermi energy	2.57	states/eV/f.u.
space group	I-42d (122)
energy relative to the elements, uncorrected	0.414	eV/atom
E_tot	-60.53	eV per cell

Cell: 6.051 6.051 5.166 Å, 54.15 54.15 90.00°
Fractional positions:
C1 0.250 0.750 0.500
Si1 0.375 0.470 0.750
Ta1 0.000 0.000 0.000
Ta2 0.750 0.250 0.500
Si2 0.875 0.780 0.750
Si3 0.530 0.125 0.250
Si4 0.220 0.625 0.250
C2 0.500 0.500 0.000

Entry 13:
Compound: TbDy2OsC2
Source: Alexandria via LeMat-Bulk
Functional: PBE
Structure: relaxed

Computed properties:
DOS at the Fermi energy	3.95	states/eV/f.u.
space group	Pnnm (58)
E_tot	-89.63	eV per cell

Cell: 3.726 5.588 11.027 Å, 90.00 90.00 90.00°
Fractional positions:
Dy1 0.500 0.957 0.794
Dy2 0.500 0.043 0.206
Dy3 0.000 0.543 0.294
C1 0.000 0.268 0.119
Tb1 0.000 0.000 0.500
Tb2 0.500 0.500 0.000
Dy4 0.000 0.457 0.706
Os1 0.000 0.000 0.000
C2 0.500 0.768 0.381
C3 0.500 0.232 0.619
C4 0.000 0.732 0.881
Os2 0.500 0.500 0.500

Entry 14:
Compound: ZrSiMo2
Source: Alexandria via LeMat-Bulk
Functional: PBE
Structure: relaxed

Computed properties:
DOS at the Fermi energy	2.79	states/eV/f.u.
space group	I-4m2 (119)
energy relative to the elements, uncorrected	-0.101	eV/atom
E_tot	-36.04	eV per cell

Cell: 4.712 4.712 4.712 Å, 126.01 126.01 79.88°
Fractional positions:
Mo1 0.250 0.750 0.500
Mo2 0.000 0.000 0.000
Zr1 0.750 0.250 0.500
Si1 0.500 0.500 0.000

Entry 15:
Compound: VMo2HIr
Source: Alexandria via LeMat-Bulk
Functional: PBE
Structure: relaxed

Computed properties:
DOS at the Fermi energy	4.51	states/eV/f.u.
space group	P4/mmm (123)
E_tot	-43.48	eV per cell
energy above the lowest structure with this stoichiometry	0.0000	eV/atom

Cell: 3.960 3.960 3.935 Å, 90.00 90.00 90.00°
Fractional positions:
Ir1 0.500 0.500 0.500
Mo1 0.500 0.000 0.000
V1 0.000 0.000 0.500
Mo2 0.000 0.500 0.000
H1 0.000 0.000 0.000

Entry 16:
Compound: Tc2Mo
Source: Alexandria via LeMat-Bulk
Functional: PBE
Structure: relaxed

Computed properties:
DOS at the Fermi energy	3.50	states/eV/f.u.
space group	C2/m (12)
E_tot	-62.39	eV per cell
energy above the lowest structure with this stoichiometry	0.0124	eV/atom

Cell: 5.290 5.290 6.625 Å, 74.48 74.48 30.54°
Fractional positions:
Tc1 0.352 0.352 0.032
Mo1 0.028 0.028 0.702
Mo2 0.972 0.972 0.298
Tc2 0.301 0.301 0.639
Tc3 0.648 0.648 0.968
Tc4 0.699 0.699 0.361

Entry 17:
Compound: LiScBi2Se4
Source: Alexandria via LeMat-Bulk
Functional: PBE
Structure: relaxed

Computed properties:
DOS at the Fermi energy	3.98	states/eV/f.u.
space group	P2/m (10)
energy relative to the elements, uncorrected	-0.732	eV/atom
E_tot	-35.81	eV per cell

Cell: 3.880 7.729 7.104 Å, 98.81 90.00 90.00°
Fractional positions:
Sc1 0.500 0.500 0.000
Bi1 0.000 0.500 0.500
Se1 0.000 0.707 0.187
Se2 0.000 0.293 0.813
Se3 0.500 0.268 0.261
Li1 0.000 0.000 0.000
Se4 0.500 0.732 0.739
Bi2 0.500 0.000 0.500

Entry 18:
Compound: Th4GaRu4
Source: Alexandria via LeMat-Bulk
Functional: PBE
Structure: relaxed

Computed properties:
DOS at the Fermi energy	6.82	states/eV/f.u.
space group	I4/m (87)
E_tot	-73.49	eV per cell

Cell: 5.423 6.837 6.837 Å, 80.95 66.63 66.63°
Fractional positions:
Th1 0.802 0.611 0.786
Th2 0.198 0.389 0.214
Ru1 0.736 0.354 0.175
Ru2 0.910 0.825 0.354
Th3 0.413 0.786 0.389
Ru3 0.264 0.646 0.825
Ru4 0.090 0.175 0.646
Th4 0.587 0.214 0.611
Ga1 0.000 0.000 0.000

Entry 19:
Compound: MnFeCuMoAu
Source: Alexandria via LeMat-Bulk
Functional: PBE
Structure: relaxed

Computed properties:
DOS at the Fermi energy	4.30	states/eV/f.u.
space group	Cm (8)
E_tot	-69.47	eV per cell
energy above the lowest structure with this stoichiometry	0.0990	eV/atom

Cell: 6.719 2.688 8.820 Å, 90.00 116.57 90.00°
Fractional positions:
Cu1 0.275 0.500 0.276
Mn1 0.662 0.000 0.378
Fe1 0.870 0.500 0.677
Mo1 0.484 0.000 0.575
Au1 0.067 0.000 0.975
Cu2 0.275 0.000 0.776
Mo2 0.484 0.500 0.075
Mn2 0.662 0.500 0.878
Au2 0.067 0.500 0.475
Fe2 0.870 0.000 0.177

Entry 20:
Compound: Tm2NbGa
Source: Alexandria via LeMat-Bulk
Functional: PBE
Structure: relaxed

Computed properties:
DOS at the Fermi energy	5.82	states/eV/f.u.
space group	R-3m (166)
E_tot	-20.78	eV per cell

Cell: 3.207 3.207 10.793 Å, 81.46 81.46 60.00°
Fractional positions:
Ga1 0.500 0.500 0.500
Tm1 0.907 0.907 0.279
Nb1 0.000 0.000 0.000
Tm2 0.093 0.093 0.721

Entry 21:
Compound: Ca2InAu
Source: Alexandria via LeMat-Bulk
Functional: PBE
Structure: relaxed

Computed properties:
DOS at the Fermi energy	1.65	states/eV/f.u.
space group	R3m (160)
E_tot	-11.90	eV per cell

Cell: 6.007 6.007 6.007 Å, 48.64 48.64 48.64°
Fractional positions:
Ca1 0.223 0.223 0.223
Ca2 0.017 0.017 0.017
Au1 0.808 0.808 0.808
In1 0.452 0.452 0.452

Entry 22:
Compound: Ni2HgGe2
Source: Alexandria via LeMat-Bulk
Functional: PBE
Structure: relaxed

Computed properties:
DOS at the Fermi energy	2.91	states/eV/f.u.
space group	I4/mmm (139)
E_tot	-20.80	eV per cell
energy above the lowest structure with this stoichiometry	0.0245	eV/atom

Cell: 3.737 3.737 6.305 Å, 72.76 72.76 90.00°
Fractional positions:
Ni1 0.387 0.387 0.226
Ge1 0.750 0.250 0.500
Ge2 0.250 0.750 0.500
Hg1 0.000 0.000 0.000
Ni2 0.613 0.613 0.774

Entry 23:
Compound: Mo2AsPd2
Source: Alexandria via LeMat-Bulk
Functional: PBE
Structure: relaxed

Computed properties:
DOS at the Fermi energy	5.85	states/eV/f.u.
space group	P4/mbm (127)
E_tot	-72.34	eV per cell
energy above the lowest structure with this stoichiometry	0.0000	eV/atom

Cell: 6.396 6.396 4.167 Å, 90.00 90.00 90.00°
Fractional positions:
Mo1 0.867 0.633 0.000
Pd1 0.348 0.152 0.500
Mo2 0.367 0.867 0.000
As1 0.500 0.500 0.000
Pd2 0.652 0.848 0.500
Pd3 0.152 0.652 0.500
Mo3 0.133 0.367 0.000
Mo4 0.633 0.133 0.000
Pd4 0.848 0.348 0.500
As2 0.000 0.000 0.000

Entry 24:
Compound: Sr2LiMn
Source: Alexandria via LeMat-Bulk
Functional: PBE
Structure: relaxed

Computed properties:
DOS at the Fermi energy	4.96	states/eV/f.u.
space group	F-43m (216)
E_tot	-12.47	eV per cell
energy above the lowest structure with this stoichiometry	0.1680	eV/atom

Cell: 5.667 5.667 5.667 Å, 60.00 60.00 60.00°
Fractional positions:
Sr1 0.000 0.000 0.000
Sr2 0.250 0.250 0.250
Mn1 0.750 0.750 0.750
Li1 0.500 0.500 0.500